# 1
# CsRbZnH2 PBE optimized geometry
# calculated volume = 32.61 Å³/atom
# VASP energy = -9.6 eV/f.u.
# offset from the most stable computed form = 54.6 meV/atom
data_CsRbZnH2
_chemical_formula_sum 'Cs2 Rb2 Zn2 H4'
_cell_length_a 7.622
_cell_length_b 4.393
_cell_length_c 10.043
_cell_angle_alpha 90.00
_cell_angle_beta 104.16
_cell_angle_gamma 90.00
_space_group_name_H-M_alt 'C 1 m 1'
_space_group_IT_number 8
loop_
_space_group_symop_operation_xyz
'x,y,z'
'x,-y,z'
'x+1/2,y+1/2,z'
'x+1/2,-y+1/2,z'
loop_
_atom_site_label
_atom_site_type_symbol
_atom_site_fract_x
_atom_site_fract_y
_atom_site_fract_z
Cs1 Cs 0.000 0.000 0.000
Rb1 Rb 0.286 0.500 0.373
Zn1 Zn 0.049 0.500 0.665
H1 H 0.119 0.500 0.850
H2 H 0.399 0.000 0.207

# 2
# CsRbZnH2 PBE optimized geometry
# calculated volume = 32.16 Å³/atom
# VASP energy = -9.9 eV/f.u.
# offset from the most stable computed form = 0.0 meV/atom
data_CsRbZnH2
_chemical_formula_sum 'Cs1 Rb1 Zn1 H2'
_cell_length_a 4.043
_cell_length_b 6.422
_cell_length_c 6.194
_cell_angle_alpha 90.00
_cell_angle_beta 90.00
_cell_angle_gamma 90.00
_space_group_name_H-M_alt 'P m m 2'
_space_group_IT_number 25
loop_
_space_group_symop_operation_xyz
'x,y,z'
'-x,-y,z'
'-x,y,z'
'x,-y,z'
loop_
_atom_site_label
_atom_site_type_symbol
_atom_site_fract_x
_atom_site_fract_y
_atom_site_fract_z
Cs1 Cs 0.000 0.000 0.000
Rb1 Rb 0.000 0.500 0.472
Zn1 Zn 0.500 0.500 0.006
H1 H 0.500 0.294 0.201

# 3
# CsRb2ZnH5 PBE optimized geometry
# calculated volume = 21.07 Å³/atom
# VASP energy = -22.9 eV/f.u.
data_CsRb2ZnH5
_chemical_formula_sum 'Cs4 Rb8 Zn4 H20'
_cell_length_a 7.960
_cell_length_b 7.960
_cell_length_c 11.970
_cell_angle_alpha 90.00
_cell_angle_beta 90.00
_cell_angle_gamma 90.00
_space_group_name_H-M_alt 'I 4/m c m'
_space_group_IT_number 140
_space_group_name_Hall '-I 4 2c'
loop_
_atom_site_label
_atom_site_type_symbol
_atom_site_fract_x
_atom_site_fract_y
_atom_site_fract_z
Cs1 Cs 0.000 0.000 0.250
Rb1 Rb 0.179 0.321 0.000
Zn1 Zn 0.000 0.500 0.250
H1 H 0.000 0.000 0.000
H2 H 0.119 0.381 0.334

# 4
# Cs3RbZn2H8 PBE optimized geometry
# calculated volume = 21.67 Å³/atom
# VASP energy = -36.1 eV/f.u.
data_Cs3RbZn2H8
_chemical_formula_sum 'Cs3 Rb1 Zn2 H8'
_cell_length_a 6.3982
_cell_length_b 6.3982
_cell_length_c 8.5561
_cell_angle_alpha 90.00
_cell_angle_beta 90.00
_cell_angle_gamma 120.00
_space_group_name_H-M_alt 'P -3 m 1'
_space_group_IT_number 164
_space_group_name_Hall '-P 3 2"'
loop_
_atom_site_label
_atom_site_type_symbol
_atom_site_fract_x
_atom_site_fract_y
_atom_site_fract_z
Cs1 Cs 0.0000 0.0000 0.0000
Cs2 Cs 0.3333 0.6667 0.6998
Rb1 Rb 0.0000 0.0000 0.5000
Zn1 Zn 0.3333 0.6667 0.2323
H1 H 0.1917 0.3833 0.3003
H2 H 0.3333 0.6667 0.0406

# 5
# CsRbZnH2 PBE optimized geometry
# calculated volume = 28.02 Å³/atom
# VASP energy = -9.8 eV/f.u.
# offset from the most stable computed form = 24.1 meV/atom
data_CsRbZnH2
_chemical_formula_sum 'Cs1 Rb1 Zn1 H2'
_cell_length_a 4.131
_cell_length_b 5.220
_cell_length_c 7.265
_cell_angle_alpha 69.74
_cell_angle_beta 73.54
_cell_angle_gamma 89.98
_space_group_name_H-M_alt 'P 1'
_space_group_IT_number 1
loop_
_space_group_symop_operation_xyz
'x,y,z'
loop_
_atom_site_label
_atom_site_type_symbol
_atom_site_fract_x
_atom_site_fract_y
_atom_site_fract_z
Cs1 Cs 0.000 0.000 0.000
Rb1 Rb 0.284 0.295 0.430
Zn1 Zn 0.652 0.635 0.698
H1 H 0.514 0.550 0.971
H2 H 0.647 0.297 0.704

# 6
# CsRbZnH2 PBE optimized geometry
# calculated volume = 40.56 Å³/atom
# VASP energy = -9.3 eV/f.u.
# offset from the most stable computed form = 128.1 meV/atom
data_CsRbZnH2
_chemical_formula_sum 'Cs1 Rb1 Zn1 H2'
_cell_length_a 4.782
_cell_length_b 5.887
_cell_length_c 7.592
_cell_angle_alpha 88.62
_cell_angle_beta 71.67
_cell_angle_gamma 89.99
_space_group_name_H-M_alt 'P 1'
_space_group_IT_number 1
loop_
_space_group_symop_operation_xyz
'x,y,z'
loop_
_atom_site_label
_atom_site_type_symbol
_atom_site_fract_x
_atom_site_fract_y
_atom_site_fract_z
Cs1 Cs 0.000 0.000 0.000
Rb1 Rb 0.735 0.515 0.533
Zn1 Zn 0.282 0.019 0.437
H1 H 0.400 0.688 0.201
H2 H 0.438 0.596 0.125

# 7
# Cs2RbZnH5 PBE optimized geometry
# calculated volume = 23.06 Å³/atom
# VASP energy = -21.0 eV/f.u.
data_Cs2RbZnH5
_chemical_formula_sum 'Cs4 Rb2 Zn2 H10'
_cell_length_a 7.926
_cell_length_b 7.926
_cell_length_c 6.608
_cell_angle_alpha 90.00
_cell_angle_beta 90.00
_cell_angle_gamma 90.00
_space_group_name_H-M_alt 'P 4/m b m'
_space_group_IT_number 127
_space_group_name_Hall '-P 4 2ab'
loop_
_atom_site_label
_atom_site_type_symbol
_atom_site_fract_x
_atom_site_fract_y
_atom_site_fract_z
Cs1 Cs 0.170 0.330 0.000
Rb1 Rb 0.000 0.000 0.500
Zn1 Zn 0.000 0.500 0.500
H1 H 0.000 0.000 0.000
H2 H 0.113 0.613 0.310

# 8
# CsRb3Zn2H8 PBE optimized geometry
# calculated volume = 21.53 Å³/atom
# VASP energy = -36.1 eV/f.u.
data_CsRb3Zn2H8
_chemical_formula_sum 'Cs1 Rb3 Zn2 H8'
_cell_length_a 5.9873
_cell_length_b 5.9873
_cell_length_c 9.7107
_cell_angle_alpha 90.00
_cell_angle_beta 90.00
_cell_angle_gamma 120.00
_space_group_name_H-M_alt 'P -3 m 1'
_space_group_IT_number 164
_space_group_name_Hall '-P 3 2"'
loop_
_atom_site_label
_atom_site_type_symbol
_atom_site_fract_x
_atom_site_fract_y
_atom_site_fract_z
Cs1 Cs 0.0000 0.0000 0.0000
Rb1 Rb 0.0000 0.0000 0.5000
Rb2 Rb 0.3333 0.6667 0.2698
Zn1 Zn 0.3333 0.6667 0.7133
H1 H 0.1810 0.3621 0.7661
H2 H 0.3333 0.6667 0.5432

> What is the VASP energy in the fourth record?

-36.1 eV/f.u.